Record 1
First-principles (GGA-PBE) data for crystalline Ac2Pr2Te7 at its relaxed geometry, as listed in Alexandria.

abc: 8.0760 8.0760 6.9104
angles: 90.00 90.00 94.44
Last column: nearest neighbours and their distance in Å.
Element x y z (fractional)
Ac 0.2491 0.2491 0.0000  6 Te 3.26-3.41
Ac 0.7509 0.7509 0.0000  6 Te 3.26-3.41
Pr 0.2690 0.7310 0.5000  7 Te 3.19-3.27
Pr 0.7310 0.2690 0.5000  7 Te 3.19-3.27
Te 0.0000 0.0000 0.5000  2 Pr 3.19
Te 0.0000 0.5000 0.2441  2 Pr 3.27, 2 Te 3.37-3.54, 2 Ac 3.41
Te 0.0000 0.5000 0.7559  2 Pr 3.27, 2 Te 3.37-3.54, 2 Ac 3.41
Te 0.5000 0.0000 0.2441  2 Pr 3.27, 2 Te 3.37-3.54, 2 Ac 3.41
Te 0.5000 0.0000 0.7559  2 Pr 3.27, 2 Te 3.37-3.54, 2 Ac 3.41
Te 0.5000 0.5000 0.2541  2 Pr 3.22, 2 Ac 3.26, 2 Te 3.40-3.51
Te 0.5000 0.5000 0.7459  2 Pr 3.22, 2 Ac 3.26, 2 Te 3.40-3.51

## Properties
DOS(E_F): 4.90 states/eV/f.u.
E_tot: -4.788 eV/atom
Crystal system: orthorhombic
Symmetry: Cmmm (65)
Formation energy from raw total energies: -1.17 eV/atom

***

Record 2
First-principles (GGA-PBE) data for crystalline LiIn2Ge at its relaxed geometry, as listed in Alexandria.

abc: 8.7944 8.7944 5.2726
angles: 90.00 90.00 90.00
Last column: nearest neighbours and their distance in Å.
Element x y z (fractional)
Li 0.0000 0.0000 0.0000  2 Ge 2.64
Li 0.0000 0.5000 0.2500  2 Ge 2.64
Li 0.5000 0.0000 0.7500  2 Ge 2.64
Li 0.5000 0.5000 0.5000  2 Ge 2.64
In 0.1729 0.7500 0.6250  2 Ge 2.75, 2 In 2.96
In 0.2500 0.1729 0.3750  2 Ge 2.75, 2 In 2.96
In 0.2500 0.3271 0.8750  2 Ge 2.75, 2 In 2.96
In 0.3271 0.7500 0.1250  2 Ge 2.75, 2 In 2.96
In 0.6729 0.2500 0.1250  2 Ge 2.75, 2 In 2.96
In 0.7500 0.6729 0.8750  2 Ge 2.75, 2 In 2.96
In 0.7500 0.8271 0.3750  2 Ge 2.75, 2 In 2.96
In 0.8271 0.2500 0.6250  2 Ge 2.75, 2 In 2.96
Ge 0.0000 0.0000 0.5000  2 Li 2.64, 4 In 2.75
Ge 0.0000 0.5000 0.7500  2 Li 2.64, 4 In 2.75
Ge 0.5000 0.0000 0.2500  2 Li 2.64, 4 In 2.75
Ge 0.5000 0.5000 0.0000  2 Li 2.64, 4 In 2.75

## Properties
DOS(E_F): 1.86 states/eV/f.u.
E_tot: -3.005 eV/atom
ΔE_f: -0.003 eV per atom
Crystal system: tetragonal
Symmetry: I-42d (122)

***

Record 3
First-principles (GGA-PBE) data for crystalline LaBe2Tl at its relaxed geometry, as listed in Alexandria.

abc: 4.6714 4.6714 16.6689
angles: 90.00 90.00 90.00
Last column: nearest neighbours and their distance in Å.
Element x y z (fractional)
La 0.0000 0.2500 0.3750  4 Tl 3.30, 8 Be 3.34
La 0.0000 0.7500 0.6250  4 Tl 3.30, 8 Be 3.34
La 0.5000 0.2500 0.1250  4 Tl 3.30, 8 Be 3.34
La 0.5000 0.7500 0.8750  4 Tl 3.30, 8 Be 3.34
Be 0.0000 0.0000 0.0000  2 Be 2.34, 2 Tl 2.39
Be 0.0000 0.5000 0.0000  2 Be 2.34, 2 Tl 2.39
Be 0.2500 0.2500 0.7500  2 Be 2.34, 2 Tl 2.39
Be 0.2500 0.7500 0.2500  2 Be 2.34, 2 Tl 2.39
Be 0.5000 0.0000 0.5000  2 Be 2.34, 2 Tl 2.39
Be 0.5000 0.5000 0.5000  2 Be 2.34, 2 Tl 2.39
Be 0.7500 0.2500 0.7500  2 Be 2.34, 2 Tl 2.39
Be 0.7500 0.7500 0.2500  2 Be 2.34, 2 Tl 2.39
Tl 0.0000 0.2500 0.8750  4 Be 2.39
Tl 0.0000 0.7500 0.1250  4 Be 2.39
Tl 0.5000 0.2500 0.6250  4 Be 2.39
Tl 0.5000 0.7500 0.3750  4 Be 2.39

## Properties
DOS(E_F): 1.34 states/eV/f.u.
E_tot: -3.425 eV/atom
ΔE_f: 0.261 eV per atom
Crystal system: tetragonal
Symmetry: I4_1/amd (141)

***

Record 4
First-principles (GGA-PBE) data for crystalline Ga2Rh2W at its relaxed geometry, as listed in Alexandria.

abc: 7.1938 7.1938 2.8311
angles: 90.00 90.00 90.00
Last column: nearest neighbours and their distance in Å.
Element x y z (fractional)
Ga 0.1341 0.3659 0.0000  6 Rh 2.48-2.59, 1 Ga 2.73
Ga 0.3659 0.8659 0.0000  6 Rh 2.48-2.59, 1 Ga 2.73
Ga 0.6341 0.1341 0.0000  6 Rh 2.48-2.59, 1 Ga 2.73
Ga 0.8659 0.6341 0.0000  6 Rh 2.48-2.59, 1 Ga 2.73
Rh 0.1653 0.6653 0.5000  6 Ga 2.48-2.59
Rh 0.3347 0.1653 0.5000  6 Ga 2.48-2.59
Rh 0.6653 0.8347 0.5000  6 Ga 2.48-2.59
Rh 0.8347 0.3347 0.5000  6 Ga 2.48-2.59
W 0.0000 0.0000 0.0000  4 Ga 2.80, 2 W 2.83, 8 Rh 3.04
W 0.5000 0.5000 0.0000  4 Ga 2.80, 2 W 2.83, 8 Rh 3.04

## Properties
DOS(E_F): 2.19 states/eV/f.u.
E_tot: -6.974 eV/atom
ΔE_f: -0.232 eV per atom
Crystal system: tetragonal
Symmetry: P4/mbm (127)

***

Record 5
First-principles (GGA-PBE) data for crystalline NaY2TlC at its relaxed geometry, as listed in Alexandria.

abc: 4.8809 4.8809 5.0164
angles: 90.00 90.00 90.00
Last column: nearest neighbours and their distance in Å.
Element x y z (fractional)
Na 0.0000 0.0000 0.0000  2 C 2.51
Y 0.0000 0.5000 0.5000  2 C 2.44
Y 0.5000 0.0000 0.5000  2 C 2.44
Tl 0.5000 0.5000 0.0000  4 Na 3.45, 8 Y 3.50
C 0.0000 0.0000 0.5000  4 Y 2.44, 2 Na 2.51

## Properties
DOS(E_F): 3.01 states/eV/f.u.
E_tot: -5.210 eV/atom
ΔE_f: -0.043 eV per atom
Crystal system: tetragonal
Symmetry: P4/mmm (123)

***

Record 6
First-principles (GGA-PBE) data for crystalline Sr2HoCu2O6 at its relaxed geometry, as listed in Alexandria.

abc: 6.7080 6.7080 6.7080
angles: 52.44 52.44 52.44
Last column: nearest neighbours and their distance in Å.
Element x y z (fractional)
Sr 0.2049 0.2049 0.2049  3 O 2.56
Sr 0.7951 0.7951 0.7951  3 O 2.56
Ho 0.0000 0.0000 0.0000  6 O 2.24
Cu 0.4215 0.4215 0.4215  3 O 1.82
Cu 0.5785 0.5785 0.5785  3 O 1.82
O 0.2230 0.7537 0.7537  1 Cu 1.82
O 0.2463 0.2463 0.7770  1 Cu 1.82
O 0.2463 0.7770 0.2463  1 Cu 1.82
O 0.7537 0.2230 0.7537  1 Cu 1.82
O 0.7537 0.7537 0.2230  1 Cu 1.82
O 0.7770 0.2463 0.2463  1 Cu 1.82

## Properties
DOS(E_F): 3.73 states/eV/f.u.
E_tot: -6.063 eV/atom
Crystal system: trigonal
Symmetry: R-3m (166)
Formation energy from raw total energies: -1.89 eV/atom

***

Record 7
First-principles (GGA-PBE) data for crystalline EuAlGa at its relaxed geometry, as listed in Alexandria.

abc: 4.5770 4.5770 3.8117
angles: 90.00 90.00 120.00
Last column: nearest neighbours and their distance in Å.
Element x y z (fractional)
Eu 0.0000 0.0000 0.0000  6 Al 3.26, 6 Ga 3.26
Al 0.3333 0.6667 0.5000  3 Ga 2.64
Ga 0.6667 0.3333 0.5000  3 Al 2.64

## Properties
DOS(E_F): 6.17 states/eV/f.u.
E_tot: -6.117 eV/atom
ΔE_f: -0.435 eV per atom
Crystal system: hexagonal
Symmetry: P-6m2 (187)

***

Record 8
First-principles (GGA-PBE) data for crystalline SrBeAsBr2 at its relaxed geometry, as listed in Alexandria.

abc: 5.1892 5.1892 4.5701
angles: 90.00 90.00 90.00
Last column: nearest neighbours and their distance in Å.
Element x y z (fractional)
Sr 0.0000 0.0000 0.0000  8 Br 3.46, 4 As 3.67
Be 0.5000 0.5000 0.5000  2 As 2.29
As 0.5000 0.5000 0.0000  2 Be 2.29
Br 0.0000 0.5000 0.5000  2 Be 2.59
Br 0.5000 0.0000 0.5000  2 Be 2.59

## Properties
DOS(E_F): 2.52 states/eV/f.u.
E_tot: -3.332 eV/atom
Crystal system: tetragonal
Symmetry: P4/mmm (123)
Formation energy from raw total energies: -0.65 eV/atom